No. 1
! ScCdBi2 (PBE, relaxed); values from VASP
! calculated volume = 29.63 Å³ per atom
! spin magnetization = 0.00 μB per formula unit
! DOS(E_F) = 2.35 states/eV/cell
! E_form = -0.182 eV per atom
! symmetry = R3m, No. 160
&SYSTEM
  ibrav = 0, nat = 4, ntyp = 3
/
ATOMIC_SPECIES
Sc 44.96 Sc.upf
Cd 112.41 Cd.upf
Bi 208.98 Bi.upf
CELL_PARAMETERS angstrom
2.272 1.312 6.631
-2.272 1.312 6.631
0.000 -2.623 6.631
ATOMIC_POSITIONS crystal
Sc 0.000 0.000 0.000
Cd 0.166 0.166 0.166
Bi 0.409 0.409 0.409
Bi 0.590 0.590 0.590

No. 2
! PrAg3Hg3 (PBE, relaxed); values from VASP
! calculated volume = 30.73 Å³ per atom
! spin magnetization = 0.00 μB per formula unit
! DOS(E_F) = 9.53 states/eV/cell
! E_form = 0.398 eV per atom
! symmetry = Pm-3n, No. 223
&SYSTEM
  ibrav = 0, nat = 14, ntyp = 3
/
ATOMIC_SPECIES
Pr 140.91 Pr.upf
Ag 107.87 Ag.upf
Hg 200.59 Hg.upf
CELL_PARAMETERS angstrom
7.549 0.000 0.000
0.000 7.549 0.000
0.000 0.000 7.549
ATOMIC_POSITIONS crystal
Pr 0.000 0.000 0.000
Pr 0.500 0.500 0.500
Ag 0.000 0.250 0.500
Ag 0.000 0.750 0.500
Ag 0.250 0.500 0.000
Ag 0.500 0.000 0.250
Ag 0.500 0.000 0.750
Ag 0.750 0.500 0.000
Hg 0.000 0.500 0.250
Hg 0.000 0.500 0.750
Hg 0.250 0.000 0.500
Hg 0.500 0.250 0.000
Hg 0.500 0.750 0.000
Hg 0.750 0.000 0.500